Tb2HoIn3PdPt2 | PBE | relaxed

Unit cell a=3.8359 b=13.3521 c=7.7275 alpha=90.00 beta=90.00 gamma=90.00
Last column: nearest neighbours and their distance in Å.
Space group Amm2 (No. 38)
Asymmetric unit:
Tb 0.0000 0.2050 0.0000 [4 per cell]  4 Pt 3.03, 1 Pd 3.17, 6 In 3.20-3.38
Ho 0.0000 0.0000 0.3849 [2 per cell]  4 Pt 3.01, 1 Pd 3.16, 6 In 3.19-3.37
In 0.5000 0.0000 0.0543 [2 per cell]  2 Pd 2.78, 2 Pt 2.89
In 0.5000 0.1292 0.6652 [4 per cell]  2 Pd 2.77, 2 Pt 2.90-2.92
Pd 0.0000 0.0000 0.7944 [2 per cell]  6 In 2.77-2.78
Pt 0.5000 0.1658 0.2955 [4 per cell]  3 In 2.89-2.92, 2 Ho 3.01, 4 Tb 3.03

Output
- Magnetization: 0.019 μB/f.u.
- Volume: 22.0 A^3/atom
- Theoretical density: 11.11 Mg/m³
- DFT total energy: -0.392 Ry per atom

LaPrTl2Hg2 | PBE | relaxed

Unit cell a=4.9881 b=4.9881 c=7.8177 alpha=90.00 beta=90.00 gamma=120.00
Last column: nearest neighbours and their distance in Å.
Space group P3m1 (No. 156)
Asymmetric unit:
La 0.0000 0.0000 0.0000 [1 per cell]  3 Hg 3.29, 6 Tl 3.33-3.66
Pr 0.0000 0.0000 0.4996 [1 per cell]  3 Hg 3.27, 6 Tl 3.32-3.65
Tl 0.3333 0.6667 0.2132 [1 per cell]  4 Hg 2.96-3.27
Tl 0.6667 0.3333 0.7100 [1 per cell]  4 Hg 2.96-3.19
Hg 0.3333 0.6667 0.7955 [1 per cell]  4 Tl 2.96-3.27, 3 La 3.29
Hg 0.6667 0.3333 0.3014 [1 per cell]  4 Tl 2.96-3.19, 3 Pr 3.27

Output
- Magnetization: 0.000 μB/f.u.
- Volume: 28.1 A^3/atom
- Theoretical density: 10.74 Mg/m³
- DFT total energy: -0.215 Ry per atom

- Which value of DFT total energy does entry 1 give?
  -0.392 Ry per atom

- Which value of volume does entry 1 give?
  22.0 A^3/atom